5
Lattice="-2.893 -2.076 0.021 2.029 -2.819 0.784 -0.981 -1.639 4.730" Properties=species:S:1:pos:R:3 comment="GGA-PBE ScH2Pd2, relaxed" dos_ef_per_ev_cell=1.44 sg=I4/mmm relative_energy_ev_per_atom=0.000 total_energy_ev_per_atom=-5.193 pbc="T T T"
Sc 0.000 0.000 0.000
H -2.153 -3.081 2.577
H 0.308 -3.453 2.958
Pd -0.608 -2.188 1.792
Pd -1.237 -4.346 3.743

---

4
Lattice="-3.115 3.581 3.151 -3.356 3.843 -2.535 -5.663 -0.582 0.213" Properties=species:S:1:pos:R:3 comment="GGA-PBE RbY2Hf, relaxed" dos_ef_per_ev_cell=6.40 formation_energy_ev_per_atom=0.871 sg=Fm-3m relative_energy_ev_per_atom=0.000 total_energy_ev_per_atom=-5.091 pbc="T T T"
Y -3.034 1.711 0.207
Y -9.101 5.132 0.622
Hf -6.067 3.421 0.415
Rb 0.000 0.000 0.000

---

6
Lattice="-6.030 -2.311 6.307 3.574 -2.371 2.548 0.990 2.730 1.151" Properties=species:S:1:pos:R:3 comment="GGA-PBE NaTiIn, relaxed" dos_ef_per_ev_cell=3.10 formation_energy_ev_per_atom=0.082 sg=Pm relative_energy_ev_per_atom=0.126 total_energy_ev_per_atom=-3.902 pbc="T T T"
Na 2.105 -0.124 1.816
Na -4.427 0.251 6.442
Ti -1.128 -0.666 5.845
Ti -0.245 -1.806 3.546
In -1.011 0.830 2.189
In -3.210 -0.816 3.743

---

5
Lattice="6.275 0.000 0.000 0.000 6.275 0.000 0.000 0.000 6.275" Properties=species:S:1:pos:R:3 comment="GGA-PBE KHg3Sb, relaxed" dos_ef_per_ev_cell=5.11 sg=Pm-3m relative_energy_ev_per_atom=0.652 total_energy_ev_per_atom=-0.757 pbc="T T T"
Sb 3.137 3.137 3.137
K 0.000 0.000 0.000
Hg 0.000 3.137 0.000
Hg 0.000 0.000 3.137
Hg 3.137 0.000 0.000

---

16
Lattice="7.522 0.000 -3.551 -1.676 7.333 -3.551 -0.435 -0.546 8.821" Properties=species:S:1:pos:R:3 comment="GGA-PBE Y5Hg2Bi, relaxed" dos_ef_per_ev_cell=8.99 formation_energy_ev_per_atom=-0.523 sg=I4/mcm total_energy_ev_per_atom=-5.124 pbc="T T T"
Y 2.329 4.752 1.953
Y 4.220 7.124 -3.784
Y 0.000 0.000 0.000
Y 2.923 3.666 -3.551
Y 1.191 -0.337 5.504
Y 4.626 1.086 3.039
Y -1.107 3.330 4.417
Y 0.784 5.702 -1.320
Y 6.517 3.458 -2.697
Y 3.082 2.035 -0.233
Hg 0.458 2.633 -1.775
Hg 4.585 1.033 -2.776
Hg 1.261 6.300 -4.325
Hg 5.388 4.700 -5.326
Bi 4.167 5.227 -0.916
Bi 1.244 1.560 2.635

---

3
Lattice="3.519 0.000 0.000 -1.760 3.048 0.000 0.000 0.000 8.600" Properties=species:S:1:pos:R:3 comment="GGA-PBE CeDyTh, relaxed" dos_ef_per_ev_cell=6.14 formation_energy_ev_per_atom=0.049 sg=P3m1 relative_energy_ev_per_atom=0.026 total_energy_ev_per_atom=-5.936 pbc="T T T"
Ce 0.000 2.032 5.675
Th 1.760 1.016 2.913
Dy 0.000 0.000 0.012

---

4
Lattice="0.000 2.848 2.848 2.848 0.000 2.848 2.848 2.848 0.000" Properties=species:S:1:pos:R:3 comment="GGA-PBE CuHOs2, relaxed" dos_ef_per_ev_cell=4.13 sg=Fm-3m relative_energy_ev_per_atom=0.449 total_energy_ev_per_atom=-6.412 pbc="T T T"
H 0.000 0.000 0.000
Os 1.424 1.424 1.424
Os 4.273 4.273 4.273
Cu 2.848 2.848 2.848

---

4
Lattice="-2.242 2.346 -3.359 -4.107 1.816 -1.282 0.046 4.509 1.192" Properties=species:S:1:pos:R:3 comment="GGA-PBE Li2BeCr, relaxed" dos_ef_per_ev_cell=1.81 formation_energy_ev_per_atom=0.458 sg=Cm total_energy_ev_per_atom=-3.836 pbc="T T T"
Be -3.126 4.043 -1.776
Cr -1.432 2.401 -0.673
Li -0.010 4.353 1.102
Li -4.841 6.718 -2.634